(1)
## ScZn2Rh (PBE)

Data for crystalline ScZn2Rh at its relaxed geometry.

- DOS at the Fermi energy: 2.9 states/eV per cell
- SG: I-42d, No. 122

a b c (Å): 3.753 3.753 10.127
angles (deg): 79.32 79.32 90.00
Fractional positions:
1 Sc 0.500 0.500 0.000
2 Zn 0.651 0.125 0.250
3 Rh 0.000 0.000 0.000
4 Zn 0.099 0.625 0.250
5 Zn 0.375 0.349 0.750
6 Rh 0.750 0.250 0.500
7 Zn 0.875 0.901 0.750
8 Sc 0.250 0.750 0.500



(2)
## ScZn2Rh (PBE)

Data for crystalline ScZn2Rh at its relaxed geometry.

- DOS at the Fermi energy: 0.9 states/eV per cell
- SG: I4/mmm, No. 139

a b c (Å): 4.935 4.935 4.935
angles (deg): 133.36 133.36 68.09
Fractional positions:
1 Rh 0.250 0.750 0.500
2 Sc 0.750 0.250 0.500
3 Zn 0.000 0.000 0.000
4 Zn 0.500 0.500 0.000



(3)
## ScZn2Rh (PBE)

Data for crystalline ScZn2Rh at its relaxed geometry.

- DOS at the Fermi energy: 3.8 states/eV per cell
- SG: R3m, No. 160

a b c (Å): 8.154 8.154 8.154
angles (deg): 22.44 22.44 22.44
Fractional positions:
1 Sc 0.756 0.756 0.756
2 Zn 0.995 0.995 0.995
3 Zn 0.247 0.247 0.247
4 Rh 0.501 0.501 0.501



Number 1: electronic total energy -4.330 eV per atom, calculated formation energy -273 meV per atom. Number 2: electronic total energy -4.638 eV per atom, calculated formation energy -580 meV per atom. Number 3: electronic total energy -4.293 eV per atom, calculated formation energy -235 meV per atom.